# 1
Density functional theory data (PBE) for crystalline BeNi3W at its relaxed geometry.

Lattice parameters (Å, degrees): 3.881 3.881 3.881 90.00 90.00 90.00
Sites, in units of the cell vectors:
Be: 0.000 0.000 0.000
Ni: 0.000 0.000 0.500
Ni: 0.000 0.500 0.000
Ni: 0.500 0.000 0.000
W: 0.500 0.500 0.500

## Properties
excess energy over the best structure of this formula in the dataset = 0 meV/atom
formation energy = 0.457 eV per atom
Fermi-level density of states = 13.58 states/eV per cell

# 2
Density functional theory data (PBE) for crystalline Be4NiW at its relaxed geometry.

Lattice parameters (Å, degrees): 4.340 4.340 4.340 60.00 60.00 60.00
Sites, in units of the cell vectors:
Be: 0.378 0.378 0.378
Be: 0.378 0.378 0.865
Be: 0.378 0.865 0.378
Be: 0.865 0.378 0.378
Ni: 0.000 0.000 0.000
W: 0.750 0.750 0.750

## Properties
formation energy = -0.076 eV per atom
Fermi-level density of states = 4.61 states/eV per cell

# 3
Density functional theory data (PBE) for crystalline BeNiW2 at its relaxed geometry.

Lattice parameters (Å, degrees): 3.786 3.786 3.651 90.00 90.00 90.00
Sites, in units of the cell vectors:
Be: 0.000 0.000 0.000
Ni: 0.500 0.500 0.000
W: 0.000 0.500 0.500
W: 0.500 0.000 0.500

## Properties
formation energy = 0.152 eV per atom
Fermi-level density of states = 2.35 states/eV per cell

# 4
Density functional theory data (PBE) for crystalline BeNiW2 at its relaxed geometry.

Lattice parameters (Å, degrees): 5.017 5.017 4.345 113.84 113.84 31.09
Sites, in units of the cell vectors:
Be: 0.000 0.000 0.000
Ni: 0.306 0.306 0.779
W: 0.537 0.537 0.530
W: 0.740 0.740 0.215

## Properties
formation energy = 0.103 eV per atom
Fermi-level density of states = 2.66 states/eV per cell

# 5
Density functional theory data (PBE) for crystalline BeNi6W at its relaxed geometry.

Lattice parameters (Å, degrees): 6.137 6.137 10.053 90.00 90.00 110.00
Sites, in units of the cell vectors:
Be: 0.000 0.000 0.235
Be: 0.000 0.000 0.765
Be: 0.260 0.740 0.000
Be: 0.740 0.260 0.000
Ni: 0.000 0.000 0.000
Ni: 0.000 0.000 0.500
Ni: 0.119 0.370 0.122
Ni: 0.119 0.370 0.878
Ni: 0.121 0.368 0.372
Ni: 0.121 0.368 0.628
Ni: 0.249 0.751 0.246
Ni: 0.249 0.751 0.754
Ni: 0.368 0.121 0.372
Ni: 0.368 0.121 0.628
Ni: 0.370 0.119 0.122
Ni: 0.370 0.119 0.878
Ni: 0.500 0.500 0.000
Ni: 0.500 0.500 0.500
Ni: 0.630 0.881 0.122
Ni: 0.630 0.881 0.878
Ni: 0.632 0.879 0.372
Ni: 0.632 0.879 0.628
Ni: 0.751 0.249 0.246
Ni: 0.751 0.249 0.754
Ni: 0.879 0.632 0.372
Ni: 0.879 0.632 0.628
Ni: 0.881 0.630 0.122
Ni: 0.881 0.630 0.878
W: 0.255 0.745 0.500
W: 0.500 0.500 0.239
W: 0.500 0.500 0.761
W: 0.745 0.255 0.500

## Properties
formation energy = -0.145 eV per atom
Fermi-level density of states = 6.11 states/eV per cell

# 6
Density functional theory data (PBE) for crystalline BeNiW2 at its relaxed geometry.

Lattice parameters (Å, degrees): 4.257 4.257 4.257 60.00 60.00 60.00
Sites, in units of the cell vectors:
Be: 0.000 0.000 0.000
Ni: 0.250 0.250 0.250
W: 0.500 0.500 0.500
W: 0.750 0.750 0.750

## Properties
formation energy = 0.330 eV per atom
Fermi-level density of states = 4.65 states/eV per cell

# 7
Density functional theory data (PBE) for crystalline Be4Ni5W at its relaxed geometry.

Lattice parameters (Å, degrees): 2.629 2.629 14.214 90.00 90.00 90.00
Sites, in units of the cell vectors:
Be: 0.000 0.000 0.090
Be: 0.000 0.000 0.273
Be: 0.000 0.000 0.727
Be: 0.000 0.000 0.910
Ni: 0.500 0.500 0.000
Ni: 0.500 0.500 0.181
Ni: 0.500 0.500 0.365
Ni: 0.500 0.500 0.635
Ni: 0.500 0.500 0.819
W: 0.000 0.000 0.500

## Properties
formation energy = -0.370 eV per atom
Fermi-level density of states = 5.06 states/eV per cell

# 8
Density functional theory data (PBE) for crystalline BeNiW2 at its relaxed geometry.

Lattice parameters (Å, degrees): 2.695 3.990 4.959 90.00 101.10 90.00
Sites, in units of the cell vectors:
Be: 0.000 0.000 0.000
Ni: 0.086 0.500 0.247
W: 0.424 0.500 0.793
W: 0.668 0.000 0.481

## Properties
formation energy = 0.043 eV per atom
Fermi-level density of states = 3.03 states/eV per cell